No. 1
# AcPr3Al8 | Alexandria | PBE | relaxed
# Crystal system: trigonal
data_AcPr3Al8
_symmetry_space_group_name_H-M 'R 3 m'
_symmetry_Int_Tables_number 160
_symmetry_space_group_name_Hall 'R 3 -2"'
_cell_length_a 5.7643
_cell_length_b 5.7643
_cell_length_c 28.2433
_cell_angle_alpha 90.00
_cell_angle_beta 90.00
_cell_angle_gamma 120.00
loop_
_atom_site_label
_atom_site_type_symbol
_atom_site_fract_x
_atom_site_fract_y
_atom_site_fract_z
_atom_site_occupancy
Ac1 Ac 0.0000 0.0000 0.0000 1
Pr1 Pr 0.0000 0.0000 0.1251 1
Pr2 Pr 0.0000 0.0000 0.5001 1
Pr3 Pr 0.0000 0.0000 0.6256 1
Al1 Al 0.0000 0.0000 0.3121 1
Al2 Al 0.0000 0.0000 0.8130 1
Al3 Al 0.0009 0.5004 0.0644 1
Al4 Al 0.1673 0.3346 0.8945 1



No. 2
# AcPrAlPt | Alexandria | PBE | relaxed
# Crystal system: cubic
data_AcPrAlPt
_symmetry_space_group_name_H-M 'F -4 3 m'
_symmetry_Int_Tables_number 216
_symmetry_space_group_name_Hall 'F -4 2 3'
_cell_length_a 7.597
_cell_length_b 7.597
_cell_length_c 7.597
_cell_angle_alpha 90.00
_cell_angle_beta 90.00
_cell_angle_gamma 90.00
loop_
_atom_site_label
_atom_site_type_symbol
_atom_site_fract_x
_atom_site_fract_y
_atom_site_fract_z
_atom_site_occupancy
Ac1 Ac 0.000 0.000 0.000 1
Pr1 Pr 0.000 0.000 0.500 1
Al1 Al 0.250 0.250 0.250 1
Pt1 Pt 0.250 0.250 0.750 1



No. 3
# Ac2PrAl2Pt7 | Alexandria | PBE | relaxed
# Crystal system: monoclinic
data_Ac2PrAl2Pt7
_symmetry_space_group_name_H-M 'C 1 2/m 1'
_symmetry_Int_Tables_number 12
_cell_length_a 6.033
_cell_length_b 5.990
_cell_length_c 14.231
_cell_angle_alpha 90.00
_cell_angle_beta 97.18
_cell_angle_gamma 90.00
loop_
_symmetry_equiv_pos_as_xyz
'x,y,z'
'-x,-y,-z'
'-x,y,-z'
'x,-y,z'
'x+1/2,y+1/2,z'
'-x+1/2,-y+1/2,-z'
'-x+1/2,y+1/2,-z'
'x+1/2,-y+1/2,z'
loop_
_atom_site_label
_atom_site_type_symbol
_atom_site_fract_x
_atom_site_fract_y
_atom_site_fract_z
_atom_site_occupancy
Ac1 Ac 0.096 0.000 0.358 1
Pr1 Pr 0.000 0.000 0.000 1
Al1 Al 0.071 0.500 0.245 1
Pt1 Pt 0.000 0.500 0.000 1
Pt2 Pt 0.103 0.500 0.420 1
Pt3 Pt 0.205 0.250 0.845 1



no.,size of the total moment (μB/f.u.),energy of formation from the pure elements (kJ/mol of formula units)
1,0.0,-522
2,0.0,-200
3,0.0,-1193